1.
The following is a DFT calculation (PBE) of crystalline Be16CuTc2 at its relaxed geometry.

Computed properties:
**Symmetry**: R3m
**Total magnetic moment**: 0.00 μB per cell
**Fermi-level density of states**: 0.308 states/eV per atom
**VASP energy**: -4.62 eV per atom
**E_form**: -0.173 eV/atom

```
Be16CuTc2
1.0
3.639 2.101 3.557
-3.639 2.101 3.557
0.000 -4.202 3.557
Be Cu Tc
16 1 2
direct
0.001 0.001 0.498
0.001 0.498 0.001
0.108 0.108 0.108
0.166 0.648 0.648
0.308 0.693 0.999
0.308 0.999 0.693
0.350 0.350 0.837
0.350 0.837 0.350
0.498 0.001 0.001
0.648 0.166 0.648
0.648 0.648 0.166
0.693 0.308 0.999
0.693 0.999 0.308
0.837 0.350 0.350
0.999 0.308 0.693
0.999 0.693 0.308
0.907 0.907 0.907
0.335 0.335 0.335
0.657 0.657 0.657
```

***

2.
The following is a DFT calculation (PBE) of crystalline BeCu4Tc at its relaxed geometry.

Computed properties:
**Symmetry**: F-43m
**Total magnetic moment**: 1.46 μB per cell
**Fermi-level density of states**: 0.786 states/eV per atom
**VASP energy**: -4.69 eV per atom
**E_form**: 0.389 eV/atom

```
BeCu4Tc
1.0
0.000 3.343 3.343
3.343 0.000 3.343
3.343 3.343 0.000
Be Cu Tc
1 4 1
direct
0.000 0.000 0.000
0.375 0.375 0.375
0.375 0.375 0.876
0.375 0.876 0.375
0.876 0.375 0.375
0.750 0.750 0.750
```

***

Number 2 is which compound?
BeCu4Tc

***

Which of these has the lowest Fermi-level density of states?
Be16CuTc2

***

Which value of VASP energy does entry 1 give?
-4.62 eV per atom

***

Number 1 is which compound?
Be16CuTc2